The following is a GGA-PBE calculation of crystalline PmSm3Zn at its relaxed geometry, from Alexandria via LeMat-Bulk.

Values from the calculation:
**Volume**: 30.114 A^3/atom
**DOS at the Fermi energy**: 12.86 states/eV per cell
**Electronic total energy**: -4.1236 eV/atom
**Total moment**: 0.00 μB/f.u.
**Energy of formation from the pure elements**: -0.087 eV per atom

Unit cell a=8.5889 b=6.6761 c=8.6993 alpha=105.36 beta=135.18 gamma=97.15
Sites, in units of the cell vectors:
Sm 0.2499 0.5478 0.8182
Sm 0.0650 0.2936 0.0868
Sm 0.9350 0.7064 0.9132
Sm 0.8883 0.0027 0.2519
Sm 0.7501 0.4522 0.1818
Sm 0.1117 0.9973 0.7481
Zn 0.5558 0.6441 0.3598
Zn 0.4442 0.3559 0.6402
Pm 0.4186 0.8544 0.6101
Pm 0.5814 0.1456 0.3899